No. 1
The following is a DFT calculation (GGA-PBE) of a relaxed Li7Ir crystal.

Properties
N(E_F): 0.507 states/eV per atom
DFT formation energy: 0.000 eV/atom
Magnetization: 0.000 μB per atom
Calculated total energy: -2.782 eV/atom

a = 7.837 Å, b = 7.837 Å, c = 7.837 Å
α = 90.00°, β = 90.00°, γ = 90.00°
Space group Fm-3m (No. 225)
Unique sites:
Li 0.000 0.000 0.000
Li 0.000 0.250 0.250
Ir 0.000 0.000 0.500

No. 2
The following is a DFT calculation (GGA-PBE) of a relaxed AsRh3W crystal.

Properties
Energy above the most stable polymorph in this dataset: 0.0 meV per atom
N(E_F): 1.379 states/eV per atom
DFT formation energy: 0.988 eV/atom
Magnetization: 0.763 μB per atom
Calculated total energy: -6.943 eV/atom

a = 4.493 Å, b = 4.493 Å, c = 4.493 Å
α = 90.00°, β = 90.00°, γ = 90.00°
Space group Pm-3m (No. 221)
Unique sites:
As 0.000 0.000 0.000
Rh 0.000 0.000 0.500
W 0.500 0.500 0.500

No. 3
The following is a DFT calculation (GGA-PBE) of a relaxed La2NdUO8 crystal.

Properties
N(E_F): 0.717 states/eV per atom
Magnetization: 0.078 μB per atom
Calculated total energy: -8.684 eV/atom
Uncorrected formation energy: -3.219 eV/atom

a = 4.003 Å, b = 5.623 Å, c = 7.754 Å
α = 90.00°, β = 90.00°, γ = 90.00°
Space group Pmmm (No. 47)
Unique sites:
La 0.000 0.000 0.247
Nd 0.500 0.500 0.500
U 0.500 0.500 0.000
O 0.000 0.250 0.500
O 0.000 0.282 0.000
O 0.500 0.269 0.219

No. 4
The following is a DFT calculation (GGA-PBE) of a relaxed Tb6ErTh3 crystal.

Properties
N(E_F): 1.926 states/eV per atom
DFT formation energy: 0.341 eV/atom
Magnetization: 0.000 μB per atom
Calculated total energy: -5.120 eV/atom

a = 9.8553 Å, b = 9.8553 Å, c = 12.0067 Å
α = 90.00°, β = 90.00°, γ = 120.00°
Space group R-3 (No. 148, hexagonal axes)
Unique sites:
Tb 0.0005 0.3312 0.2491
Er 0.0000 0.0000 0.5000
Th 0.0000 0.0000 0.0000
Th 0.0000 0.0000 0.2509

No. 5
The following is a DFT calculation (GGA-PBE) of a relaxed LiFeNiRu2 crystal.

Properties
N(E_F): 1.456 states/eV per atom
DFT formation energy: 1.228 eV/atom
Magnetization: 0.411 μB per atom
Calculated total energy: -5.713 eV/atom

a = 4.339 Å, b = 4.339 Å, c = 4.134 Å
α = 90.00°, β = 90.00°, γ = 90.00°
Space group P4/mmm (No. 123)
Unique sites:
Li 0.000 0.000 0.000
Fe 0.000 0.000 0.500
Ni 0.500 0.500 0.000
Ru 0.000 0.500 0.500

No. 6
The following is a DFT calculation (GGA-PBE) of a relaxed InCuSe2 crystal.

Properties
N(E_F): 0.494 states/eV per atom
Magnetization: 0.000 μB per atom
Calculated total energy: -3.494 eV/atom
Uncorrected formation energy: -0.043 eV/atom

a = 3.824 Å, b = 4.103 Å, c = 11.903 Å
α = 90.00°, β = 90.00°, γ = 90.00°
Space group Immm (No. 71)
Unique sites:
In 0.000 0.000 0.000
Cu 0.000 0.000 0.500
Se 0.000 0.500 0.152

- The highest N(E_F) belongs to which entry?
  Tb6ErTh3

- The highest calculated total energy belongs to which entry?
  Li7Ir

- What is the magnetization in the sixth record?
  0.000 μB per atom

- Look up the magnetization of the fifth one.
  0.411 μB per atom